Entry 1:
Here is crystalline Bi2TeIr at its relaxed geometry from the Alexandria database. Energies are from PBE-GGA. Values from VASP.

The structure in Quantum ESPRESSO input format:
```
&SYSTEM
  ibrav = 0, nat = 16, ntyp = 3
/
ATOMIC_SPECIES
Bi 208.98 Bi.upf
Te 127.60 Te.upf
Ir 192.22 Ir.upf
ATOMIC_POSITIONS crystal
Bi 0.771 0.930 0.914
Bi 0.229 0.070 0.086
Bi 0.271 0.570 0.586
Bi 0.729 0.430 0.414
Bi 0.771 0.430 0.086
Bi 0.229 0.570 0.914
Bi 0.271 0.070 0.414
Bi 0.729 0.930 0.586
Te 0.250 0.560 0.250
Te 0.750 0.440 0.750
Te 0.750 0.940 0.250
Te 0.250 0.060 0.750
Ir 0.000 0.250 0.593
Ir 0.000 0.750 0.407
Ir 0.500 0.250 0.907
Ir 0.500 0.750 0.093
CELL_PARAMETERS angstrom
-3.145 1.739 4.612
-6.054 -1.354 -3.618
-0.013 -9.952 3.744
```

Calculated values
space-group type	Pnna
energy relative to the elements, uncorrected	0.01	eV per atom
theoretical density	10.98	g/cm3

=====

Entry 2:
Here is crystalline PrPa2TlO8 at its relaxed geometry from the Alexandria database. Energies are from PBE-GGA. Values from VASP.

The structure in Quantum ESPRESSO input format:
```
&SYSTEM
  ibrav = 0, nat = 12, ntyp = 4
/
ATOMIC_SPECIES
Pr 140.91 Pr.upf
Pa 231.04 Pa.upf
Tl 204.38 Tl.upf
O 16.00 O.upf
ATOMIC_POSITIONS crystal
Pr 0.000 0.000 0.500
Pa 0.667 0.333 0.278
Pa 0.333 0.667 0.722
Tl 0.000 0.000 0.000
O 0.150 0.849 0.767
O 0.151 0.301 0.767
O 0.699 0.850 0.767
O 0.850 0.151 0.233
O 0.849 0.699 0.233
O 0.301 0.150 0.233
O 0.667 0.333 0.574
O 0.333 0.667 0.426
CELL_PARAMETERS angstrom
-6.274 0.392 -2.053
4.766 -1.727 -4.246
-0.893 -6.248 1.539
```

Calculated values
space-group type	P-3m1
energy relative to the elements, uncorrected	-2.54	eV per atom
theoretical density	6.31	g/cm3

=====

Entry 3:
Here is crystalline HfCdN2O at its relaxed geometry from the Alexandria database. Energies are from PBE-GGA. Values from VASP.

The structure in Quantum ESPRESSO input format:
```
&SYSTEM
  ibrav = 0, nat = 5, ntyp = 4
/
ATOMIC_SPECIES
N 14.01 N.upf
Hf 178.49 Hf.upf
O 16.00 O.upf
Cd 112.41 Cd.upf
ATOMIC_POSITIONS crystal
N 0.000 0.500 0.000
N 0.500 0.000 0.000
Hf 0.000 0.000 0.000
O 0.000 0.000 0.500
Cd 0.500 0.500 0.500
CELL_PARAMETERS angstrom
4.260 0.000 0.000
0.000 4.260 0.000
0.000 0.000 4.062
```

Calculated values
space-group type	P4/mmm
energy relative to the elements, uncorrected	-0.35	eV per atom
theoretical density	7.54	g/cm3

=====

Entry 4:
Here is crystalline La2Nd4Dy5 at its relaxed geometry from the Alexandria database. Energies are from PBE-GGA. Values from VASP.

The structure in Quantum ESPRESSO input format:
```
&SYSTEM
  ibrav = 0, nat = 11, ntyp = 3
/
ATOMIC_SPECIES
La 138.91 La.upf
Nd 144.24 Nd.upf
Dy 162.50 Dy.upf
ATOMIC_POSITIONS crystal
La 0.402 0.456 0.805
La 0.598 0.544 0.195
Nd 0.304 0.924 0.607
Nd 0.970 0.735 0.939
Nd 0.696 0.076 0.393
Nd 0.030 0.265 0.061
Dy 0.788 0.604 0.576
Dy 0.212 0.396 0.424
Dy 0.867 0.124 0.735
Dy 0.500 0.000 0.000
Dy 0.133 0.876 0.265
CELL_PARAMETERS angstrom
-4.775 -2.899 -1.727
3.287 -5.602 0.319
-0.670 0.870 10.290
```

Calculated values
energy relative to the elements	0.098	eV/atom
space-group type	C2/m
energy above the lowest structure with this stoichiometry	0	meV per atom
theoretical density	7.35	g/cm3

=====

Q: Which value of theoretical density does entry 2 give?
A: 6.31 g/cm3